Record 1
Here is a relaxed Be2CrMo2Ru5 crystal from Alexandria via LeMat-Bulk. Energies are from PBE.

Structure (POSCAR):
```
Be2CrMo2Ru5
1.0
2.961 0.000 0.000
0.000 9.321 0.000
0.000 0.000 9.321
Ru Cr Mo Be
10 2 4 4
direct
0.500 0.432 0.294
0.500 0.794 0.932
0.500 0.500 0.000
0.500 0.932 0.206
0.500 0.000 0.500
0.500 0.294 0.568
0.500 0.206 0.068
0.500 0.706 0.432
0.500 0.568 0.706
0.500 0.068 0.794
0.000 0.000 0.000
0.000 0.500 0.500
0.000 0.324 0.824
0.000 0.824 0.676
0.000 0.676 0.176
0.000 0.176 0.324
0.000 0.624 0.876
0.000 0.376 0.124
0.000 0.876 0.376
0.000 0.124 0.624
```

Calculated values
- DOS(E_F): 0.604 states/eV/atom
- SG: P4/mbm

=====

Record 2
Here is a relaxed BeCrTcMo crystal from Alexandria via LeMat-Bulk. Energies are from PBE.

Structure (POSCAR):
```
BeCrTcMo
1.0
4.220 0.000 0.000
2.110 3.654 0.000
2.110 1.218 3.445
Tc Mo Cr Be
1 1 1 1
direct
0.000 0.000 0.000
0.750 0.750 0.750
0.500 0.500 0.500
0.250 0.250 0.250
```

Calculated values
- DOS(E_F): 0.646 states/eV/atom
- SG: F-43m

=====

Record 3
Here is a relaxed TiBeCrMo crystal from Alexandria via LeMat-Bulk. Energies are from PBE.

Structure (POSCAR):
```
TiBeCrMo
1.0
4.209 0.000 0.000
2.104 3.645 0.000
2.104 1.215 3.437
Be Mo Cr Ti
1 1 1 1
direct
0.500 0.500 0.500
0.750 0.750 0.750
0.000 0.000 0.000
0.250 0.250 0.250
```

Calculated values
- DOS(E_F): 0.615 states/eV/atom
- SG: F-43m

=====

Listing energy of formation for the structures above in their given order: -89, 62, -16 meV/atom.
Listing spin magnetization for the structures above in their given order: 1.5, 2.5, 0.0 μB/cell.
Listing raw total energy for the structures above in their given order: -8.60, -8.57, -8.03 eV/atom.